[1]
A relaxed structure of Sm4TmIn5, computed with PBE.

Lattice parameters (Å, degrees): 3.795 3.795 19.184 90.00 90.00 90.00
Fractional coordinates of all 10 atoms:
Sm  0.000  0.000  0.102
Sm  0.000  0.000  0.305
Sm  0.000  0.000  0.695
Sm  0.000  0.000  0.898
Tm  0.000  0.000  0.500
In  0.500  0.500  0.000
In  0.500  0.500  0.203
In  0.500  0.500  0.408
In  0.500  0.500  0.592
In  0.500  0.500  0.797

- SG: P4/mmm, No. 123

[2]
A relaxed structure of SmTmIn2, computed with PBE.

Lattice parameters (Å, degrees): 5.587 5.587 3.520 90.00 90.00 103.35
Fractional coordinates of all 4 atoms:
Sm  0.000  0.000  0.000
Tm  0.500  0.500  0.000
In  0.000  0.500  0.500
In  0.500  0.000  0.500

- SG: Cmmm, No. 65

[3]
A relaxed structure of SmTm5In6, computed with PBE.

Lattice parameters (Å, degrees): 8.365 8.365 7.456 90.00 90.00 143.14
Fractional coordinates of all 12 atoms:
Sm  0.000  0.000  0.000
Tm  0.000  0.000  0.500
Tm  0.332  0.668  0.000
Tm  0.336  0.664  0.500
Tm  0.664  0.336  0.500
Tm  0.668  0.332  0.000
In  0.169  0.831  0.254
In  0.169  0.831  0.746
In  0.500  0.500  0.254
In  0.500  0.500  0.746
In  0.831  0.169  0.254
In  0.831  0.169  0.746

- SG: Cmmm, No. 65

[4]
A relaxed structure of Sm3Tm2In2, computed with PBE.

Lattice parameters (Å, degrees): 12.006 12.006 3.509 90.00 90.00 155.98
Fractional coordinates of all 7 atoms:
Sm  0.000  0.000  0.000
Sm  0.145  0.855  0.000
Sm  0.855  0.145  0.000
Tm  0.287  0.713  0.500
Tm  0.713  0.287  0.500
In  0.429  0.571  0.500
In  0.571  0.429  0.500

- SG: Cmmm, No. 65
- Energy relative to the lowest polymorph listed for this composition: 0.0974 eV/atom

[5]
A relaxed structure of Sm4TmIn2, computed with PBE.

Lattice parameters (Å, degrees): 6.428 6.428 6.386 90.00 90.00 126.00
Fractional coordinates of all 7 atoms:
Sm  0.000  0.500  0.500
Sm  0.142  0.858  0.000
Sm  0.500  0.000  0.500
Sm  0.858  0.142  0.000
Tm  0.000  0.000  0.500
In  0.500  0.500  0.243
In  0.500  0.500  0.757

- SG: Cmmm, No. 65
- Energy relative to the lowest polymorph listed for this composition: 0.2085 eV/atom

[6]
A relaxed structure of Sm3Tm2In, computed with PBE.

Lattice parameters (Å, degrees): 7.934 7.934 4.872 90.00 90.00 143.74
Fractional coordinates of all 6 atoms:
Sm  0.000  0.000  0.000
Sm  0.331  0.669  0.000
Sm  0.669  0.331  0.000
Tm  0.163  0.837  0.500
Tm  0.837  0.163  0.500
In  0.500  0.500  0.500

- SG: Cmmm, No. 65
- Energy relative to the lowest polymorph listed for this composition: 0.0000 eV/atom

[7]
A relaxed structure of SmTm4In4, computed with PBE.

Lattice parameters (Å, degrees): 7.183 7.183 10.455 90.00 90.00 90.00
Fractional coordinates of all 18 atoms:
Sm  0.250  0.750  0.250
Sm  0.750  0.250  0.750
Tm  0.018  0.250  0.162
Tm  0.250  0.018  0.662
Tm  0.250  0.482  0.662
Tm  0.482  0.250  0.162
Tm  0.518  0.750  0.838
Tm  0.750  0.518  0.338
Tm  0.750  0.982  0.338
Tm  0.982  0.750  0.838
In  0.036  0.250  0.460
In  0.250  0.036  0.960
In  0.250  0.464  0.960
In  0.464  0.250  0.460
In  0.536  0.750  0.540
In  0.750  0.536  0.040
In  0.750  0.964  0.040
In  0.964  0.750  0.540

- SG: P4_2/nmc, No. 137

[8]
A relaxed structure of Sm2TmIn, computed with PBE.

Lattice parameters (Å, degrees): 3.591 3.591 9.433 90.00 90.00 90.00
Fractional coordinates of all 4 atoms:
Sm  0.000  0.000  0.230
Sm  0.000  0.000  0.770
Tm  0.500  0.500  0.500
In  0.500  0.500  0.000

- SG: P4/mmm, No. 123
- Energy relative to the lowest polymorph listed for this composition: 0.0600 eV/atom

[9]
A relaxed structure of SmTmIn2, computed with PBE.

Lattice parameters (Å, degrees): 5.340 5.340 5.340 60.00 60.00 60.00
Fractional coordinates of all 4 atoms:
Sm  0.000  0.000  0.000
Tm  0.500  0.500  0.500
In  0.250  0.250  0.250
In  0.750  0.750  0.750

- SG: Fm-3m, No. 225

[10]
A relaxed structure of Sm2TmIn9, computed with PBE.

Lattice parameters (Å, degrees): 4.664 4.664 13.967 90.00 90.00 90.00
Fractional coordinates of all 12 atoms:
Sm  0.000  0.000  0.168
Sm  0.000  0.000  0.832
Tm  0.000  0.000  0.500
In  0.000  0.500  0.000
In  0.000  0.500  0.337
In  0.000  0.500  0.663
In  0.500  0.000  0.000
In  0.500  0.000  0.337
In  0.500  0.000  0.663
In  0.500  0.500  0.167
In  0.500  0.500  0.500
In  0.500  0.500  0.833

- SG: P4/mmm, No. 123

[11]
A relaxed structure of Sm3TmIn, computed with PBE.

Lattice parameters (Å, degrees): 7.852 7.852 7.852 87.21 116.09 127.51
Fractional coordinates of all 10 atoms:
Sm  0.181  0.996  0.684
Sm  0.247  0.029  0.276
Sm  0.247  0.471  0.718
Sm  0.312  0.496  0.316
Sm  0.753  0.529  0.282
Sm  0.753  0.971  0.724
Tm  0.236  0.738  0.998
Tm  0.740  0.238  0.002
In  0.682  0.492  0.689
In  0.803  0.992  0.311

- SG: Ima2, No. 46
- Energy relative to the lowest polymorph listed for this composition: 0.3565 eV/atom

[12]
A relaxed structure of Sm3TmIn3, computed with PBE.

Lattice parameters (Å, degrees): 9.421 9.421 9.421 90.00 90.00 90.00
Fractional coordinates of all 28 atoms:
Sm  0.068  0.432  0.568
Sm  0.170  0.830  0.330
Sm  0.177  0.177  0.177
Sm  0.323  0.823  0.677
Sm  0.330  0.170  0.830
Sm  0.432  0.568  0.068
Sm  0.568  0.068  0.432
Sm  0.670  0.670  0.670
Sm  0.677  0.323  0.823
Sm  0.823  0.677  0.323
Sm  0.830  0.330  0.170
Sm  0.932  0.932  0.932
Tm  0.078  0.578  0.922
Tm  0.422  0.422  0.422
Tm  0.578  0.922  0.078
Tm  0.922  0.078  0.578
In  0.005  0.257  0.868
In  0.132  0.505  0.243
In  0.243  0.132  0.505
In  0.257  0.868  0.005
In  0.368  0.495  0.743
In  0.495  0.743  0.368
In  0.505  0.243  0.132
In  0.632  0.995  0.757
In  0.743  0.368  0.495
In  0.757  0.632  0.995
In  0.868  0.005  0.257
In  0.995  0.757  0.632

- SG: P2_13, No. 198
- Energy relative to the lowest polymorph listed for this composition: 0.0000 eV/atom

[13]
A relaxed structure of Sm5TmIn3, computed with PBE.

Lattice parameters (Å, degrees): 9.483 9.483 6.823 90.00 90.00 59.96
Fractional coordinates of all 18 atoms:
Sm  0.163  0.837  0.750
Sm  0.164  0.500  0.250
Sm  0.167  0.167  0.000
Sm  0.167  0.167  0.500
Sm  0.500  0.164  0.750
Sm  0.500  0.836  0.250
Sm  0.833  0.833  0.000
Sm  0.833  0.833  0.500
Sm  0.836  0.500  0.750
Sm  0.837  0.163  0.250
Tm  0.500  0.500  0.000
Tm  0.500  0.500  0.500
In  0.173  0.500  0.750
In  0.173  0.827  0.250
In  0.500  0.173  0.250
In  0.500  0.827  0.750
In  0.827  0.173  0.750
In  0.827  0.500  0.250

- SG: Cmcm, No. 63

[14]
A relaxed structure of Sm3TmIn2, computed with PBE.

Lattice parameters (Å, degrees): 8.438 8.438 10.193 117.49 117.49 34.51
Fractional coordinates of all 12 atoms:
Sm  0.040  0.040  0.360
Sm  0.291  0.291  0.626
Sm  0.366  0.366  0.327
Sm  0.634  0.634  0.673
Sm  0.709  0.709  0.374
Sm  0.960  0.960  0.640
Tm  0.118  0.118  0.076
Tm  0.882  0.882  0.924
In  0.248  0.248  0.911
In  0.484  0.484  0.132
In  0.516  0.516  0.868
In  0.752  0.752  0.089

- SG: C2/m, No. 12
- Energy relative to the lowest polymorph listed for this composition: 0.0986 eV/atom

[15]
A relaxed structure of SmTm3In3, computed with PBE.

Lattice parameters (Å, degrees): 9.295 9.295 5.147 90.00 90.00 120.00
Fractional coordinates of all 14 atoms:
Sm  0.333  0.667  0.250
Sm  0.667  0.333  0.750
Tm  0.003  0.230  0.250
Tm  0.227  0.997  0.250
Tm  0.230  0.227  0.750
Tm  0.770  0.773  0.250
Tm  0.773  0.003  0.750
Tm  0.997  0.770  0.750
In  0.071  0.452  0.750
In  0.381  0.929  0.750
In  0.452  0.381  0.250
In  0.548  0.619  0.750
In  0.619  0.071  0.250
In  0.929  0.548  0.250

- SG: P6_3/m, No. 176
- Energy relative to the lowest polymorph listed for this composition: 0.0000 eV/atom

[16]
A relaxed structure of Sm3TmIn4, computed with PBE.

Lattice parameters (Å, degrees): 10.500 10.500 10.500 160.80 141.44 43.42
Fractional coordinates of all 8 atoms:
Sm  0.000  0.000  0.000
Sm  0.275  0.775  0.500
Sm  0.725  0.225  0.500
Tm  0.500  0.500  0.000
In  0.097  0.375  0.722
In  0.347  0.625  0.722
In  0.653  0.375  0.278
In  0.903  0.625  0.278

- SG: Immm, No. 71
- Energy relative to the lowest polymorph listed for this composition: 0.1695 eV/atom

[17]
A relaxed structure of Sm4TmIn2, computed with PBE.

Lattice parameters (Å, degrees): 6.238 7.895 9.141 88.56 76.54 76.64
Fractional coordinates of all 14 atoms:
Sm  0.000  0.000  0.000
Sm  0.020  0.591  0.156
Sm  0.280  0.750  0.408
Sm  0.303  0.316  0.561
Sm  0.386  0.272  0.908
Sm  0.556  0.794  0.008
Sm  0.748  0.549  0.555
Sm  0.864  0.073  0.648
Tm  0.140  0.165  0.284
Tm  0.604  0.363  0.213
In  0.126  0.667  0.775
In  0.407  0.934  0.686
In  0.699  0.957  0.342
In  0.858  0.393  0.875

- SG: P1, No. 1
- Energy relative to the lowest polymorph listed for this composition: 0.0000 eV/atom

[18]
A relaxed structure of Sm2Tm5In, computed with PBE.

Lattice parameters (Å, degrees): 10.597 10.597 10.597 153.43 153.43 37.93
Fractional coordinates of all 8 atoms:
Sm  0.244  0.244  0.000
Sm  0.756  0.756  0.000
Tm  0.000  0.000  0.000
Tm  0.120  0.620  0.500
Tm  0.380  0.880  0.500
Tm  0.620  0.120  0.500
Tm  0.880  0.380  0.500
In  0.500  0.500  0.000

- SG: I4/mmm, No. 139
- Energy relative to the lowest polymorph listed for this composition: 0.0032 eV/atom

[19]
A relaxed structure of Sm8Tm2In, computed with PBE.

Lattice parameters (Å, degrees): 9.410 9.410 8.011 105.16 105.16 30.85
Fractional coordinates of all 11 atoms:
Sm  0.045  0.045  0.227
Sm  0.136  0.136  0.679
Sm  0.320  0.320  0.591
Sm  0.409  0.409  0.057
Sm  0.591  0.591  0.943
Sm  0.680  0.680  0.409
Sm  0.864  0.864  0.321
Sm  0.955  0.955  0.773
Tm  0.225  0.225  0.133
Tm  0.775  0.775  0.867
In  0.500  0.500  0.500

- SG: C2/m, No. 12
- Energy relative to the lowest polymorph listed for this composition: 0.0000 eV/atom

[20]
A relaxed structure of Sm3TmIn4, computed with PBE.

Lattice parameters (Å, degrees): 3.781 3.781 15.398 90.00 90.00 90.00
Fractional coordinates of all 8 atoms:
Sm  0.000  0.000  0.000
Sm  0.000  0.000  0.256
Sm  0.000  0.000  0.744
Tm  0.000  0.000  0.500
In  0.500  0.500  0.128
In  0.500  0.500  0.384
In  0.500  0.500  0.616
In  0.500  0.500  0.872

- SG: P4/mmm, No. 123
- Energy relative to the lowest polymorph listed for this composition: 0.0000 eV/atom

[21]
A relaxed structure of Sm2TmIn3, computed with PBE.

Lattice parameters (Å, degrees): 8.801 8.801 6.438 102.95 102.95 43.18
Fractional coordinates of all 12 atoms:
Sm  0.058  0.286  0.093
Sm  0.286  0.058  0.593
Sm  0.714  0.942  0.407
Sm  0.942  0.714  0.907
Tm  0.367  0.633  0.250
Tm  0.633  0.367  0.750
In  0.132  0.868  0.750
In  0.227  0.458  0.450
In  0.458  0.227  0.950
In  0.542  0.773  0.050
In  0.773  0.542  0.550
In  0.868  0.132  0.250

- SG: C2/c, No. 15
- Energy relative to the lowest polymorph listed for this composition: 0.0691 eV/atom

[22]
A relaxed structure of SmTmIn6, computed with PBE.

Lattice parameters (Å, degrees): 4.650 4.650 9.292 90.00 90.00 90.00
Fractional coordinates of all 8 atoms:
Sm  0.000  0.000  0.000
Tm  0.000  0.000  0.500
In  0.000  0.500  0.254
In  0.000  0.500  0.746
In  0.500  0.000  0.254
In  0.500  0.000  0.746
In  0.500  0.500  0.000
In  0.500  0.500  0.500

- SG: P4/mmm, No. 123
- Energy relative to the lowest polymorph listed for this composition: 0.0000 eV/atom

| no. | DOS(E_F) (states/eV/cell) | energy of formation (kJ/mol of atoms) |
| --- | --- | --- |
| 1 | 5.55 | -46.2 |
| 2 | 2.39 | -43.8 |
| 3 | 5.76 | -41.9 |
| 4 | 7.69 | -15.6 |
| 5 | 9.15 | 0.5 |
| 6 | 7.40 | -15.2 |
| 7 | 12.49 | -14.7 |
| 8 | 5.43 | -19.8 |
| 9 | 1.87 | -44.0 |
| 10 | 4.59 | -41.3 |
| 11 | 13.73 | 16.2 |
| 12 | 32.42 | -30.8 |
| 13 | 22.80 | -33.5 |
| 14 | 11.70 | -24.3 |
| 15 | 11.73 | -33.5 |
| 16 | 7.10 | -29.7 |
| 17 | 15.83 | -19.6 |
| 18 | 9.91 | -9.9 |
| 19 | 14.84 | -6.4 |
| 20 | 4.39 | -46.0 |
| 21 | 9.73 | -38.8 |
| 22 | 2.85 | -39.8 |